Below is a relaxed structure of Tl2ZnOs, with properties calculated at the PBE level.

Lattice parameters (Å, degrees): 6.404 6.404 7.713 65.47 65.47 90.00
Fractional coordinates of all 8 atoms:
Tl: 0.661 0.125 0.250
Tl: 0.089 0.625 0.250
Tl: 0.375 0.339 0.750
Tl: 0.875 0.911 0.750
Os: 0.000 0.000 0.000
Os: 0.750 0.250 0.500
Zn: 0.500 0.500 0.000
Zn: 0.250 0.750 0.500

Space-group type: I-42d, No. 122
E: -3.03 eV/atom
Density: 8.617 g/cm3
Relative energy among the computed polymorphs: 0.743 eV per atom
Formation energy: 1.274 eV/atom